No. 1
A relaxed SnPHS crystal, computed with GGA-PBE.

Results
E above lowest polymorph = 190 meV per atom
DFT total energy = -4.123 eV per atom
space-group type = No. 1

```
data_SnPHS
_space_group_name_H-M_alt 'P 1'
_space_group_IT_number 1
_space_group_name_Hall 'P 1'
_cell_length_a 3.5837
_cell_length_b 3.6087
_cell_length_c 6.9432
_cell_angle_alpha 94.77
_cell_angle_beta 93.94
_cell_angle_gamma 90.61
loop_
_atom_site_label
_atom_site_fract_x
_atom_site_fract_y
_atom_site_fract_z
Sn1 0.0000 0.0000 0.0000
P1 0.4835 0.4798 0.8643
H1 0.2775 0.3324 0.3712
S1 0.0317 0.0422 0.3575
```



No. 2
A relaxed DyPuPb2 crystal, computed with GGA-PBE.

Results
DFT total energy = -6.893 eV per atom
ΔE_f = -305 meV per atom
space-group type = No. 123

```
data_DyPuPb2
_space_group_name_H-M_alt 'P 1'
_space_group_IT_number 1
_space_group_name_Hall 'P 1'
_cell_length_a 3.5055
_cell_length_b 3.5055
_cell_length_c 9.1242
_cell_angle_alpha 90.00
_cell_angle_beta 90.00
_cell_angle_gamma 90.00
loop_
_atom_site_label
_atom_site_fract_x
_atom_site_fract_y
_atom_site_fract_z
Dy1 0.0000 0.0000 0.0000
Pu1 0.0000 0.0000 0.5000
Pb1 0.5000 0.5000 0.2460
Pb2 0.5000 0.5000 0.7540
```



No. 3
A relaxed FeBiH3 crystal, computed with GGA-PBE.

Results
E above lowest polymorph = 775 meV per atom
DFT total energy = -3.312 eV per atom
space-group type = No. 221

```
data_FeBiH3
_space_group_name_H-M_alt 'P 1'
_space_group_IT_number 1
_space_group_name_Hall 'P 1'
_cell_length_a 4.1885
_cell_length_b 4.1885
_cell_length_c 4.1885
_cell_angle_alpha 90.00
_cell_angle_beta 90.00
_cell_angle_gamma 90.00
loop_
_atom_site_label
_atom_site_fract_x
_atom_site_fract_y
_atom_site_fract_z
Fe1 0.0000 0.0000 0.0000
Bi1 0.5000 0.5000 0.5000
H1 0.0000 0.5000 0.5000
H2 0.5000 0.0000 0.5000
H3 0.5000 0.5000 0.0000
```



No. 4
A relaxed MnCo2Ru crystal, computed with GGA-PBE.

Results
E above lowest polymorph = 303 meV per atom
DFT total energy = -7.806 eV per atom
ΔE_f = 359 meV per atom
space-group type = No. 225

```
data_MnCo2Ru
_space_group_name_H-M_alt 'P 1'
_space_group_IT_number 1
_space_group_name_Hall 'P 1'
_cell_length_a 4.0676
_cell_length_b 4.0676
_cell_length_c 4.0676
_cell_angle_alpha 60.00
_cell_angle_beta 60.00
_cell_angle_gamma 60.00
loop_
_atom_site_label
_atom_site_fract_x
_atom_site_fract_y
_atom_site_fract_z
Mn1 0.0000 0.0000 0.0000
Co1 0.2500 0.2500 0.2500
Co2 0.7500 0.7500 0.7500
Ru1 0.5000 0.5000 0.5000
```